Entry 1:
First-principles (PBE) data for a relaxed Cr2SiAu crystal, as listed in the Alexandria database.

Its uncorrected formation energy is 0.25 eV per atom.

The space group is R3m (No. 160, hexagonal axes) and the conventional cell measures 2.8086, 2.8086 and 24.7415 Å, with angles of 90.00, 90.00 and 120.00 degrees. The inequivalent atoms are Cr at (0.0000, 0.0000, 0.0000), Cr at (0.0000, 0.0000, 0.2631), Si at (0.0000, 0.0000, 0.7432) and Au at (0.0000, 0.0000, 0.5027).



Entry 2:
First-principles (PBE) data for a relaxed NdTm2Te crystal, as listed in the Alexandria database.

The energy above the most stable polymorph in this dataset comes out at 137 meV/atom. Its uncorrected formation energy is -0.50 eV per atom.

The space group is R3m (No. 160, hexagonal axes) and the conventional cell measures 3.8580, 3.8580 and 29.6581 Å, with angles of 90.00, 90.00 and 120.00 degrees. The inequivalent atoms are Nd at (0.0000, 0.0000, 0.0000), Tm at (0.0000, 0.0000, 0.5711), Tm at (0.0000, 0.0000, 0.7627) and Te at (0.0000, 0.0000, 0.1667).



Entry 3:
First-principles (PBE) data for a relaxed Tb2DyEr2Th crystal, as listed in the Alexandria database.

As for the formation energy: 1.045 eV/f.u.

The space group is P2_1/m (No. 11) and the conventional cell measures 6.440, 6.758 and 8.885 Å, with angles of 90.00, 95.90 and 90.00 degrees. The inequivalent atoms are Tb at (0.180, 0.000, 0.160), Dy at (0.321, 0.250, 0.827), Er at (0.072, 0.750, 0.490), Er at (0.423, 0.250, 0.467) and Th at (0.312, 0.750, 0.844).



Entry 4:
First-principles (PBE) data for a relaxed LiB2H crystal, as listed in the Alexandria database.

The energy above the most stable polymorph in this dataset comes out at 16 meV/atom.

The space group is P1 (No. 1) and the conventional cell measures 3.176, 4.649 and 5.730 Å, with angles of 97.20, 104.30 and 90.18 degrees. The inequivalent atoms are Li at (0.000, 0.000, 0.000), Li at (0.278, 0.541, 0.492), B at (0.362, 0.067, 0.690), B at (0.481, 0.023, 0.397), B at (0.847, 0.228, 0.654), B at (0.984, 0.022, 0.400), H at (0.414, 0.855, 0.808) and H at (0.857, 0.496, 0.672).



Entry 5:
First-principles (PBE) data for a relaxed Ac4GeSe2Br crystal, as listed in the Alexandria database.

Its uncorrected formation energy is -1.48 eV per atom.

The space group is P2/m (No. 10) and the conventional cell measures 7.813, 4.534 and 7.856 Å, with angles of 90.00, 109.30 and 90.00 degrees. The inequivalent atoms are Ac at (0.240, 0.000, 0.230), Ac at (0.252, 0.500, 0.764), Ge at (0.500, 0.000, 0.000), Se at (0.000, 0.000, 0.500), Se at (0.000, 0.500, 0.000) and Br at (0.500, 0.500, 0.500).



Entry 6:
First-principles (PBE) data for a relaxed TlCuBrO crystal, as listed in the Alexandria database.

Its uncorrected formation energy is -0.41 eV per atom.

The space group is R-3m (No. 166, hexagonal axes) and the conventional cell measures 3.6917, 3.6917 and 41.9575 Å, with angles of 90.00, 90.00 and 120.00 degrees. The inequivalent atoms are Tl at (0.0000, 0.0000, 0.0000), Tl at (0.0000, 0.0000, 0.5000), Cu at (0.0000, 0.0000, 0.2368), Br at (0.0000, 0.0000, 0.3963) and O at (0.0000, 0.0000, 0.1923).



Entry 7:
First-principles (PBE) data for a relaxed Li2PuSn4Pd crystal, as listed in the Alexandria database.

As for the formation energy: -2.735 eV/f.u.

The space group is R-3m (No. 166, hexagonal axes) and the conventional cell measures 4.8021, 4.8021 and 26.2324 Å, with angles of 90.00, 90.00 and 120.00 degrees. The inequivalent atoms are Li at (0.0000, 0.0000, 0.2460), Pu at (0.0000, 0.0000, 0.0000), Sn at (0.0000, 0.0000, 0.1289), Sn at (0.0000, 0.0000, 0.3902) and Pd at (0.0000, 0.0000, 0.5000).



Entry 8:
First-principles (PBE) data for a relaxed Dy4Hg5Au crystal, as listed in the Alexandria database.

As for the formation energy: -4.916 eV/f.u.

The space group is C2/m (No. 12) and the conventional cell measures 15.483, 5.116 and 6.485 Å, with angles of 90.00, 106.12 and 90.00 degrees. The inequivalent atoms are Dy at (0.089, 0.000, 0.369), Dy at (0.185, 0.500, 0.800), Hg at (0.000, 0.500, 0.000), Hg at (0.109, 0.000, 0.911), Hg at (0.210, 0.500, 0.319) and Au at (0.000, 0.500, 0.500).



Entry 9:
First-principles (PBE) data for a relaxed KZr2Bi2 crystal, as listed in the Alexandria database.

The energy above the most stable polymorph in this dataset comes out at 0 meV/atom. As for the formation energy: -1.025 eV/f.u.

The space group is I4/mmm (No. 139) and the conventional cell measures 4.743, 4.743 and 14.921 Å, with angles of 90.00, 90.00 and 90.00 degrees. The inequivalent atoms are K at (0.000, 0.000, 0.000), Zr at (0.000, 0.500, 0.250) and Bi at (0.000, 0.000, 0.372).



Entry 10:
First-principles (PBE) data for a relaxed Na2Tb3TmSe6 crystal, as listed in the Alexandria database.

Its uncorrected formation energy is -1.71 eV per atom.

The space group is C2/m (No. 12) and the conventional cell measures 7.110, 12.300 and 7.163 Å, with angles of 90.00, 109.23 and 90.00 degrees. The inequivalent atoms are Na at (0.000, 0.166, 0.000), Tb at (0.000, 0.000, 0.500), Tb at (0.000, 0.330, 0.500), Tm at (0.000, 0.500, 0.000), Se at (0.241, 0.500, 0.746) and Se at (0.246, 0.337, 0.249).



Entry 11:
First-principles (PBE) data for a relaxed Cs12KHg5 crystal, as listed in the Alexandria database.

As for the formation energy: -2.419 eV/f.u.

The space group is Immm (No. 71) and the conventional cell measures 13.356, 13.654 and 14.449 Å, with angles of 90.00, 90.00 and 90.00 degrees. The inequivalent atoms are Cs at (0.000, 0.192, 0.209), Cs at (0.187, 0.500, 0.178), Cs at (0.208, 0.320, 0.500), K at (0.000, 0.000, 0.500), Hg at (0.000, 0.000, 0.000), Hg at (0.000, 0.385, 0.000) and Hg at (0.000, 0.500, 0.392).



Entry 12:
First-principles (PBE) data for a relaxed ErTmGaSn crystal, as listed in the Alexandria database.

The energy above the most stable polymorph in this dataset comes out at 153 meV/atom. As for the formation energy: -2.063 eV/f.u.

The space group is F-43m (No. 216) and the conventional cell measures 7.305, 7.305 and 7.305 Å, with angles of 90.00, 90.00 and 90.00 degrees. The inequivalent atoms are Er at (0.000, 0.000, 0.000), Tm at (0.000, 0.000, 0.500), Ga at (0.250, 0.250, 0.750) and Sn at (0.250, 0.250, 0.250).



Entry 13:
First-principles (PBE) data for a relaxed Ba6Na2P2Ru2O17 crystal, as listed in the Alexandria database.

Its uncorrected formation energy is -2.32 eV per atom.

The space group is P6_3/mmc (No. 194) and the conventional cell measures 5.8760, 5.8760 and 29.6460 Å, with angles of 90.00, 90.00 and 120.00 degrees. The inequivalent atoms are Ba at (0.0000, 0.0000, 0.0000), Ba at (0.0000, 0.0000, 0.2500), Ba at (0.3333, 0.6667, 0.0896), Ba at (0.3333, 0.6667, 0.6782), Na at (0.0000, 0.0000, 0.1216), P at (0.3333, 0.6667, 0.5525), Ru at (0.3333, 0.6667, 0.2029), O at (0.0265, 0.5133, 0.2500), O at (0.1760, 0.3520, 0.1683), O at (0.1889, 0.3778, 0.5712) and O at (0.3333, 0.6667, 0.9995).



Entry 14:
First-principles (PBE) data for a relaxed Ca2MnAs crystal, as listed in the Alexandria database.

As for the formation energy: 0.138 eV/f.u.

The space group is I-42d (No. 122) and the conventional cell measures 8.140, 8.140 and 6.718 Å, with angles of 90.00, 90.00 and 90.00 degrees. The inequivalent atoms are Ca at (0.220, 0.250, 0.125), Mn at (0.000, 0.000, 0.500) and As at (0.000, 0.000, 0.000).



Entry 15:
First-principles (PBE) data for a relaxed BaPm2Se4 crystal, as listed in the Alexandria database.

The energy above the most stable polymorph in this dataset comes out at 19 meV/atom. Its uncorrected formation energy is -1.95 eV per atom.

The space group is Cmcm (No. 63) and the conventional cell measures 4.301, 14.065 and 14.515 Å, with angles of 90.00, 90.00 and 90.00 degrees. The inequivalent atoms are Ba at (0.000, 0.110, 0.250), Pm at (0.000, 0.366, 0.067), Se at (0.000, 0.000, 0.000), Se at (0.000, 0.268, 0.614) and Se at (0.000, 0.442, 0.250).



Entry 16:
First-principles (PBE) data for a relaxed PS2ClO crystal, as listed in the Alexandria database.

The energy above the most stable polymorph in this dataset comes out at 118 meV/atom. Its uncorrected formation energy is 1.06 eV per atom.

The space group is P4/mmm (No. 123) and the conventional cell measures 4.217, 4.217 and 4.480 Å, with angles of 90.00, 90.00 and 90.00 degrees. The inequivalent atoms are P at (0.000, 0.000, 0.000), S at (0.000, 0.500, 0.500), Cl at (0.500, 0.500, 0.000) and O at (0.500, 0.500, 0.500).



Entry 17:
First-principles (PBE) data for a relaxed Sm6PN4 crystal, as listed in the Alexandria database.

Its uncorrected formation energy is -1.36 eV per atom.

The space group is Cmcm (No. 63) and the conventional cell measures 3.693, 11.997 and 18.612 Å, with angles of 90.00, 90.00 and 90.00 degrees. The inequivalent atoms are Sm at (0.000, 0.000, 0.000), Sm at (0.000, 0.158, 0.250), Sm at (0.000, 0.277, 0.579), Sm at (0.000, 0.457, 0.152), P at (0.000, 0.164, 0.750), N at (0.000, 0.087, 0.124) and N at (0.000, 0.361, 0.040).



Entry 18:
First-principles (PBE) data for a relaxed La2CrCl crystal, as listed in the Alexandria database.

The energy above the most stable polymorph in this dataset comes out at 303 meV/atom. Its uncorrected formation energy is -0.15 eV per atom.

The space group is Fm-3m (No. 225) and the conventional cell measures 7.575, 7.575 and 7.575 Å, with angles of 90.00, 90.00 and 90.00 degrees. The inequivalent atoms are La at (0.250, 0.250, 0.250), Cr at (0.000, 0.000, 0.000) and Cl at (0.000, 0.000, 0.500).



Entry 19:
First-principles (PBE) data for a relaxed TeSI2 crystal, as listed in the Alexandria database.

The energy above the most stable polymorph in this dataset comes out at 0 meV/atom. Its uncorrected formation energy is 0.04 eV per atom.

The space group is Cm (No. 8) and the conventional cell measures 13.117, 4.299 and 8.183 Å, with angles of 90.00, 118.02 and 90.00 degrees. The inequivalent atoms are Te at (0.000, 0.000, 0.000), S at (0.170, 0.000, 0.001), I at (0.036, 0.500, 0.299) and I at (0.363, 0.000, 0.701).



Entry 20:
First-principles (PBE) data for a relaxed CdFe2HgRh crystal, as listed in the Alexandria database.

As for the formation energy: 7.009 eV/f.u.

The space group is P4/mmm (No. 123) and the conventional cell measures 4.785, 4.785 and 5.043 Å, with angles of 90.00, 90.00 and 90.00 degrees. The inequivalent atoms are Cd at (0.000, 0.000, 0.000), Fe at (0.000, 0.500, 0.500), Hg at (0.500, 0.500, 0.500) and Rh at (0.500, 0.500, 0.000).



no.,mass density (g/cm3)
1,9.70
2,7.94
3,9.04
4,1.21
5,7.70
6,7.32
7,7.98
8,12.45
9,6.33
10,6.54
11,3.32
12,8.94
13,5.27
14,3.13
15,5.62
16,3.05
17,7.97
18,5.58
19,3.37
20,7.59